1.
This record from the Alexandria database describes a geometry-optimized PuNi3B structure. The functional is PBE.

```
PuNi3B
1.0
-2.3628 2.3628 6.4589
2.3628 -2.3628 6.4589
2.3628 2.3628 -6.4589
Pu Ni B
2 6 2
Direct
0.1654 0.1654 0.0000
0.8346 0.8346 0.0000
0.3747 0.6217 0.7530
0.3783 0.1313 0.7530
0.3783 0.6253 0.2470
0.5473 0.0473 0.5000
0.8687 0.6217 0.2470
0.9527 0.4527 0.5000
0.2500 0.7500 0.5000
0.5000 0.5000 0.0000
```

Computed properties:
Total DFT energy (no corrections) ... -76.69 eV/cell
N(E_F) ... 29.0 states/eV per cell
SG ... I-4m2

=====

2.
This record from the Alexandria database describes a geometry-optimized TeBr structure. The functional is PBE.

```
TeBr
1.0
6.0830 -2.0442 0.0000
6.0830 2.0442 0.0000
-4.3317 0.0000 7.1076
Te Br
2 2
Direct
0.0000 0.0000 0.0000
0.6305 0.6305 0.2834
0.3626 0.3626 0.7036
0.5011 0.5011 0.4458
```

Computed properties:
Total DFT energy (no corrections) ... -10.35 eV/cell
Energy relative to the elements, uncorrected ... -34.7 kJ/mol of formula units
SG ... Cm

=====

3.
This record from the Alexandria database describes a geometry-optimized Y2ZrIn structure. The functional is PBE.

```
Y2ZrIn
1.0
-2.3191 2.3191 4.8940
2.3191 -2.3191 4.8940
2.3191 2.3191 -4.8940
Y Zr In
2 1 1
Direct
0.0000 0.0000 0.0000
0.7500 0.2500 0.5000
0.5000 0.5000 0.0000
0.2500 0.7500 0.5000
```

Computed properties:
Total DFT energy (no corrections) ... -24.89 eV/cell
N(E_F) ... 4.9 states/eV per cell
SG ... I-4m2

=====

4.
This record from the Alexandria database describes a geometry-optimized RbSrIO2 structure. The functional is PBE.

```
RbSrIO2
1.0
4.9711 0.0000 0.0000
0.0000 4.9711 0.0000
0.0000 0.0000 6.3941
Rb Sr I O
1 1 1 2
Direct
0.0000 0.0000 0.0000
0.5000 0.5000 0.5000
0.0000 0.0000 0.5000
0.0000 0.5000 0.0000
0.5000 0.0000 0.0000
```

Computed properties:
Total DFT energy (no corrections) ... -16.20 eV/cell
N(E_F) ... 4.4 states/eV per cell
Energy relative to the elements, uncorrected ... -201.4 kJ/mol of formula units
SG ... P4/mmm